Entry 1:
An optimized crystal structure of LiReNi, computed with PBE-GGA.

Lattice parameters (Å, degrees): 4.129 4.129 4.953 90.00 90.00 120.00
Fractional positions:
Li: 0.333 0.667 0.250
Li: 0.667 0.333 0.750
Re: 0.000 0.000 0.000
Re: 0.000 0.000 0.500
Ni: 0.333 0.667 0.750
Ni: 0.667 0.333 0.250

Density of states at the Fermi level = 0.993 states/eV/atom
Raw total energy = -6.4502 eV per atom
Calculated density = 11.43 g/cm³

=====

Entry 2:
An optimized crystal structure of LiRe4Ni, computed with PBE-GGA.

Lattice parameters (Å, degrees): 5.147 5.147 5.147 60.00 60.00 60.00
Fractional positions:
Li: 0.000 0.000 0.000
Re: 0.125 0.625 0.625
Re: 0.625 0.125 0.625
Re: 0.625 0.625 0.125
Re: 0.625 0.625 0.625
Ni: 0.250 0.250 0.250

Density of states at the Fermi level = 1.295 states/eV/atom
Raw total energy = -8.9558 eV per atom
Calculated density = 13.96 g/cm³

=====

Entry 3:
An optimized crystal structure of Li4ReNi, computed with PBE-GGA.

Lattice parameters (Å, degrees): 4.713 4.713 4.713 60.00 60.00 60.00
Fractional positions:
Li: 0.125 0.125 0.125
Li: 0.125 0.125 0.625
Li: 0.125 0.625 0.125
Li: 0.625 0.125 0.125
Re: 0.500 0.500 0.500
Ni: 0.750 0.750 0.750

Density of states at the Fermi level = 0.314 states/eV/atom
Raw total energy = -3.7793 eV per atom
Calculated density = 6.11 g/cm³

=====

Entry 4:
An optimized crystal structure of LiRe2Ni, computed with PBE-GGA.

Lattice parameters (Å, degrees): 2.582 4.195 4.952 90.00 98.54 90.00
Fractional positions:
Li: 0.000 0.000 0.000
Re: 0.355 0.500 0.746
Re: 0.572 0.000 0.494
Ni: 0.979 0.500 0.218

Density of states at the Fermi level = 0.619 states/eV/atom
Raw total energy = -8.0236 eV per atom
Calculated density = 13.71 g/cm³

=====

> What is the calculated density in the first record?

11.43 g/cm³